No. 1
SiAs2P: optimized geometry, PBE. Values from VASP.

Calculated values
E_form (uncorrected): 0.349 eV per atom

Cell and atoms, written as Quantum ESPRESSO input:
```
&SYSTEM
  ibrav = 0, nat = 8, ntyp = 3
/
ATOMIC_SPECIES
Si 28.09 Si.upf
As 74.92 As.upf
P 30.97 P.upf
CELL_PARAMETERS angstrom
-2.589 2.589 6.681
2.589 -2.589 6.681
2.589 2.589 -6.681
ATOMIC_POSITIONS angstrom
Si 0.000 0.000 0.000
Si 0.000 2.589 3.340
As 1.295 -1.276 5.011
As 1.314 1.295 1.670
As 1.295 3.865 -1.670
As 1.276 1.295 8.351
P 2.589 0.000 3.340
P 0.000 0.000 6.681
```

No. 2
Ti2InCoB: optimized geometry, PBE. Values from VASP.

Calculated values
ΔE_f: 0.22 eV per atom

Cell and atoms, written as Quantum ESPRESSO input:
```
&SYSTEM
  ibrav = 0, nat = 5, ntyp = 4
/
ATOMIC_SPECIES
Ti 47.87 Ti.upf
In 114.82 In.upf
Co 58.93 Co.upf
B 10.81 B.upf
CELL_PARAMETERS angstrom
4.250 0.000 0.000
0.000 4.250 0.000
0.000 0.000 4.343
ATOMIC_POSITIONS angstrom
Ti 0.000 2.125 0.000
Ti 2.125 0.000 0.000
In 0.000 0.000 2.172
Co 2.125 2.125 2.172
B 0.000 0.000 0.000
```

Number 1: D(E_F) 1.09 states/eV/f.u.. Number 2: D(E_F) 4.95 states/eV/f.u..